Entry from Alexandria via LeMat-Bulk: a geometry-optimized CeAlSn2 structure (PBE-GGA).

The calculated volume is 97.0 Å³ per cell. Its spin magnetization is 0.007 μB per atom. Its polymorph energy (0 for the lowest one) is 0.000 eV per atom. The value obtained for the uncorrected energy is -4.89 eV per atom. The formation energy from the elements comes out at -469.7 meV/atom.

Structure (extended XYZ):
```
4
Lattice="-0.779 -2.324 -3.811 -2.361 -3.164 2.412 -3.898 2.400 -0.668" Properties=species:S:1:pos:R:3 pbc="T T T"
Sn -1.949 1.200 -0.334
Sn -1.180 -1.582 1.206
Ce -3.519 -1.544 -1.033
Al -0.389 -1.162 -1.905
```